[1]
{
  "formula": "V2AgPbO8",
  "functional": "PBE with a Hubbard U",
  "state": "optimized geometry",
  "lattice_angstrom": [[-4.5742, 1.9526, 3.0243], [4.0543, -3.2472, 2.6269], [3.2534, 5.2832, 1.5096]],
  "species": ["V", "V", "O", "O", "O", "O", "O", "O", "O", "O", "Pb", "Ag"],
  "fractional_positions": [[0.3333, 0.6667, 0.8007], [0.6667, 0.3333, 0.1993], [0.8372, 0.6754, 0.2757], [0.1618, 0.8372, 0.7243], [0.3246, 0.1618, 0.2757], [0.6667, 0.3333, 0.9436], [0.8382, 0.1628, 0.2757], [0.6754, 0.8382, 0.7243], [0.1628, 0.3246, 0.7243], [0.3333, 0.6667, 0.0564], [0.0000, 0.0000, 0.5000], [0.0000, 0.0000, 0.0000]],
  "spacegroup": "P-3m1 (164)",
  "m_tot_mub_per_cell": 1.06
}


[2]
{
  "formula": "AgPbWO5",
  "functional": "PBE with a Hubbard U",
  "state": "optimized geometry",
  "lattice_angstrom": [[-3.8773, -2.0971, -4.7375], [4.2418, -4.8100, -0.8636], [-3.8553, -1.1119, 7.3015]],
  "species": ["Ag", "Ag", "Pb", "Pb", "O", "O", "O", "O", "O", "O", "O", "O", "O", "O", "W", "W"],
  "fractional_positions": [[0.3015, 0.6985, 0.2500], [0.6985, 0.3015, 0.7500], [0.0000, 0.0000, 0.0000], [0.0000, 0.0000, 0.5000], [0.7489, 0.2593, 0.0736], [0.2593, 0.7489, 0.5736], [0.0657, 0.9343, 0.2500], [0.7407, 0.2511, 0.4264], [0.9343, 0.0657, 0.7500], [0.3314, 0.2949, 0.1521], [0.2511, 0.7407, 0.9264], [0.7051, 0.6686, 0.3479], [0.6686, 0.7051, 0.8479], [0.2949, 0.3314, 0.6521], [0.3665, 0.6335, 0.7500], [0.6335, 0.3665, 0.2500]],
  "spacegroup": "C2/c (15)",
  "m_tot_mub_per_cell": 0.00
}


[3]
{
  "formula": "AgPb2WO6",
  "functional": "PBE with a Hubbard U",
  "state": "optimized geometry",
  "lattice_angstrom": [[-3.4628, -4.1701, -0.7188], [3.6506, -3.4924, 2.6743], [-3.6783, 2.7795, 8.6510]],
  "species": ["O", "O", "O", "O", "O", "O", "O", "O", "O", "O", "O", "O", "Ag", "Ag", "W", "W", "Pb", "Pb", "Pb", "Pb"],
  "fractional_positions": [[0.7469, 0.2697, 0.9404], [0.2287, 0.2518, 0.0793], [0.2469, 0.2303, 0.4404], [0.7531, 0.7697, 0.5596], [0.1161, 0.4606, 0.8209], [0.2531, 0.7303, 0.0596], [0.3839, 0.9606, 0.6791], [0.7287, 0.2482, 0.5793], [0.2713, 0.7518, 0.4207], [0.6161, 0.0394, 0.3209], [0.8839, 0.5394, 0.1791], [0.7713, 0.7482, 0.9207], [0.0000, 0.5000, 0.5000], [0.5000, 0.0000, 0.0000], [0.0000, 0.5000, 0.0000], [0.5000, 0.0000, 0.5000], [0.0197, 0.9624, 0.2426], [0.4803, 0.4624, 0.2574], [0.9803, 0.0376, 0.7574], [0.5197, 0.5376, 0.7426]],
  "spacegroup": "P2_1/c (14)",
  "m_tot_mub_per_cell": 0.43
}


no.,calculated total energy (eV per atom)
1,-6.255
2,-6.055
3,-5.981